[1]
Material: TaBr2F2
Method: DFT, PBE
State: relaxed

Values from the calculation:
- Uncorrected energy: -115.51 eV per cell

a = 6.906 Å, b = 7.678 Å, c = 7.879 Å
α = 90.00°, β = 90.00°, γ = 90.00°
Space group Immm (No. 71)
Unique sites:
Ta: 0.214 0.000 0.000
Br: 0.000 0.000 0.266
Br: 0.000 0.500 0.275
F: 0.224 0.247 0.000

[2]
Material: FeBr2
Method: DFT, PBE
State: relaxed

Values from the calculation:
- Uncorrected energy: -99.72 eV per cell

a = 11.117 Å, b = 11.117 Å, c = 11.117 Å
α = 90.00°, β = 90.00°, γ = 90.00°
Space group Fd-3m (No. 227, origin choice 2)
Unique sites:
Fe: 0.125 0.125 0.125
Br: 0.000 0.000 0.000

[3]
Material: FeBr2
Method: DFT, PBE
State: relaxed

Values from the calculation:
- Uncorrected energy: -25.81 eV per cell

a = 3.7287 Å, b = 3.7287 Å, c = 12.9375 Å
α = 90.00°, β = 90.00°, γ = 120.00°
Space group P6_3mc (No. 186)
Unique sites:
Fe: 0.3333 0.6667 0.0000
Br: 0.0000 0.0000 0.3851
Br: 0.3333 0.6667 0.6149

[4]
Material: FeBr
Method: DFT, PBE
State: relaxed

Values from the calculation:
- Uncorrected energy: -36.91 eV per cell

a = 5.657 Å, b = 5.657 Å, c = 5.657 Å
α = 90.00°, β = 90.00°, γ = 90.00°
Space group F-43m (No. 216)
Unique sites:
Fe: 0.000 0.000 0.000
Br: 0.250 0.250 0.250

[5]
Material: FeBr2
Method: DFT, PBE
State: relaxed

Values from the calculation:
- Uncorrected energy: -51.52 eV per cell

a = 3.612 Å, b = 6.264 Å, c = 13.448 Å
α = 90.00°, β = 90.00°, γ = 90.00°
Space group Pmn2_1 (No. 31)
Unique sites:
Fe: 0.000 0.012 0.000
Fe: 0.000 0.406 0.499
Br: 0.000 0.103 0.625
Br: 0.000 0.398 0.105
Br: 0.000 0.709 0.874
Br: 0.000 0.792 0.395

[6]
Material: FeBr
Method: DFT, PBE
State: relaxed

Values from the calculation:
- Uncorrected energy: -17.60 eV per cell

a = 3.5882 Å, b = 3.5882 Å, c = 6.4710 Å
α = 90.00°, β = 90.00°, γ = 120.00°
Space group P6_3/mmc (No. 194)
Unique sites:
Fe: 0.3333 0.6667 0.2500
Br: 0.0000 0.0000 0.0000